# 1
A plane-wave DFT calculation with SCAN was carried out for a PBEsol-optimized structure of MgIr2Ru.

a = 2.732 Å, b = 2.732 Å, c = 7.779 Å
α = 90.00°, β = 90.00°, γ = 90.00°
Fractional positions:
Ir  0.000  0.000  0.996
Ir  0.500  0.500  0.239
Mg  0.000  0.000  0.498
Ru  0.500  0.500  0.767

Computed properties:
Calculated formation energy (eV per atom): -0.09


# 2
A plane-wave DFT calculation with SCAN was carried out for a PBEsol-optimized structure of Ti2CuH2.

a = 3.113 Å, b = 3.113 Å, c = 5.507 Å
α = 106.42°, β = 106.42°, γ = 90.00°
Fractional positions:
H  0.250  0.750  0.500
H  0.750  0.250  0.500
Cu  0.000  0.000  0.000
Ti  0.356  0.356  0.712
Ti  0.644  0.644  0.288


The evaluated total energy for the records listed, in turn: -45.585, -11.197 eV per atom.